[1]
# Ca12Se3O5 PBE relaxed
# Density of states at the Fermi level = 12.502 states/eV/f.u.
# ΔE_f (raw) = -1.78 eV per atom
data_Ca12Se3O5
_chemical_formula_sum 'Ca48 Se12 O20'
_cell_length_a 13.5523
_cell_length_b 13.5523
_cell_length_c 13.5523
_cell_angle_alpha 109.47
_cell_angle_beta 109.47
_cell_angle_gamma 109.47
_symmetry_space_group_name_H-M 'P 1'
_symmetry_Int_Tables_number 1
loop_
_symmetry_equiv_pos_as_xyz
'x,y,z'
loop_
_atom_site_label
_atom_site_type_symbol
_atom_site_fract_x
_atom_site_fract_y
_atom_site_fract_z
Ca1 Ca 0.0104 0.1981 0.1138
Ca2 Ca 0.0104 0.3123 0.8966
Ca3 Ca 0.0843 0.6981 0.6877
Ca4 Ca 0.0843 0.8862 0.3966
Ca5 Ca 0.1034 0.6138 0.4157
Ca6 Ca 0.1034 0.9896 0.6877
Ca7 Ca 0.1138 0.0104 0.1981
Ca8 Ca 0.1138 0.6034 0.9157
Ca9 Ca 0.1877 0.1981 0.5843
Ca10 Ca 0.1877 0.4896 0.6034
Ca11 Ca 0.1981 0.1138 0.0104
Ca12 Ca 0.1981 0.5843 0.1877
Ca13 Ca 0.3019 0.3123 0.9157
Ca14 Ca 0.3019 0.4896 0.3862
Ca15 Ca 0.3123 0.8966 0.0104
Ca16 Ca 0.3123 0.9157 0.3019
Ca17 Ca 0.3862 0.3019 0.4896
Ca18 Ca 0.3862 0.5843 0.8966
Ca19 Ca 0.3966 0.0843 0.8862
Ca20 Ca 0.3966 0.8123 0.5104
Ca21 Ca 0.4157 0.1034 0.6138
Ca22 Ca 0.4157 0.8123 0.8019
Ca23 Ca 0.4896 0.3862 0.3019
Ca24 Ca 0.4896 0.6034 0.1877
Ca25 Ca 0.5104 0.3966 0.8123
Ca26 Ca 0.5104 0.6138 0.6981
Ca27 Ca 0.5843 0.1877 0.1981
Ca28 Ca 0.5843 0.8966 0.3862
Ca29 Ca 0.6034 0.1877 0.4896
Ca30 Ca 0.6034 0.9157 0.1138
Ca31 Ca 0.6138 0.4157 0.1034
Ca32 Ca 0.6138 0.6981 0.5104
Ca33 Ca 0.6877 0.0843 0.6981
Ca34 Ca 0.6877 0.1034 0.9896
Ca35 Ca 0.6981 0.5104 0.6138
Ca36 Ca 0.6981 0.6877 0.0843
Ca37 Ca 0.8019 0.4157 0.8123
Ca38 Ca 0.8019 0.8862 0.9896
Ca39 Ca 0.8123 0.5104 0.3966
Ca40 Ca 0.8123 0.8019 0.4157
Ca41 Ca 0.8862 0.3966 0.0843
Ca42 Ca 0.8862 0.9896 0.8019
Ca43 Ca 0.8966 0.0104 0.3123
Ca44 Ca 0.8966 0.3862 0.5843
Ca45 Ca 0.9157 0.1138 0.6034
Ca46 Ca 0.9157 0.3019 0.3123
Ca47 Ca 0.9896 0.6877 0.1034
Ca48 Ca 0.9896 0.8019 0.8862
Se1 Se 0.1250 0.2500 0.3750
Se2 Se 0.1250 0.3750 0.7500
Se3 Se 0.2500 0.3750 0.1250
Se4 Se 0.2500 0.8750 0.6250
Se5 Se 0.3750 0.1250 0.2500
Se6 Se 0.3750 0.7500 0.1250
Se7 Se 0.6250 0.2500 0.8750
Se8 Se 0.6250 0.8750 0.7500
Se9 Se 0.7500 0.1250 0.3750
Se10 Se 0.7500 0.6250 0.8750
Se11 Se 0.8750 0.6250 0.2500
Se12 Se 0.8750 0.7500 0.6250
O1 O 0.0000 0.0000 0.0000
O2 O 0.0000 0.0000 0.5000
O3 O 0.0000 0.5000 0.0000
O4 O 0.0000 0.5000 0.5000
O5 O 0.1250 0.7500 0.8750
O6 O 0.1250 0.8750 0.2500
O7 O 0.2500 0.1250 0.8750
O8 O 0.2500 0.6250 0.3750
O9 O 0.3750 0.2500 0.6250
O10 O 0.3750 0.6250 0.7500
O11 O 0.5000 0.0000 0.0000
O12 O 0.5000 0.0000 0.5000
O13 O 0.5000 0.5000 0.0000
O14 O 0.5000 0.5000 0.5000
O15 O 0.6250 0.3750 0.2500
O16 O 0.6250 0.7500 0.3750
O17 O 0.7500 0.3750 0.6250
O18 O 0.7500 0.8750 0.1250
O19 O 0.8750 0.1250 0.7500
O20 O 0.8750 0.2500 0.1250

[2]
# Re2SiPb PBE relaxed
# ΔE to the lowest computed polymorph = 358 meV per atom
# Density of states at the Fermi level = 3.901 states/eV/f.u.
# ΔE_f (raw) = 0.71 eV per atom
data_Re2SiPb
_chemical_formula_sum 'Re2 Si1 Pb1'
_cell_length_a 5.4185
_cell_length_b 5.4185
_cell_length_c 5.4185
_cell_angle_alpha 148.17
_cell_angle_beta 124.85
_cell_angle_gamma 65.09
_symmetry_space_group_name_H-M 'P 1'
_symmetry_Int_Tables_number 1
loop_
_symmetry_equiv_pos_as_xyz
'x,y,z'
loop_
_atom_site_label
_atom_site_type_symbol
_atom_site_fract_x
_atom_site_fract_y
_atom_site_fract_z
Re1 Re 0.2145 0.2145 0.0000
Re2 Re 0.7855 0.7855 0.0000
Si1 Si 0.0000 0.5000 0.5000
Pb1 Pb 0.5000 0.0000 0.5000

[3]
# DyMg4Au5 PBE relaxed
# Density of states at the Fermi level = 3.561 states/eV/f.u.
# Energy of formation = -0.656 eV per atom
data_DyMg4Au5
_chemical_formula_sum 'Dy1 Mg4 Au5'
_cell_length_a 3.4010
_cell_length_b 3.4010
_cell_length_c 16.5334
_cell_angle_alpha 90.00
_cell_angle_beta 90.00
_cell_angle_gamma 90.00
_symmetry_space_group_name_H-M 'P 1'
_symmetry_Int_Tables_number 1
loop_
_symmetry_equiv_pos_as_xyz
'x,y,z'
loop_
_atom_site_label
_atom_site_type_symbol
_atom_site_fract_x
_atom_site_fract_y
_atom_site_fract_z
Dy1 Dy 0.0000 0.0000 0.0000
Mg1 Mg 0.0000 0.0000 0.2124
Mg2 Mg 0.0000 0.0000 0.4046
Mg3 Mg 0.0000 0.0000 0.5954
Mg4 Mg 0.0000 0.0000 0.7876
Au1 Au 0.5000 0.5000 0.1158
Au2 Au 0.5000 0.5000 0.3085
Au3 Au 0.5000 0.5000 0.5000
Au4 Au 0.5000 0.5000 0.6915
Au5 Au 0.5000 0.5000 0.8842

[4]
# Ca2CrBAu PBE relaxed
# Density of states at the Fermi level = 9.719 states/eV/f.u.
# Energy of formation = 0.663 eV per atom
data_Ca2CrBAu
_chemical_formula_sum 'Ca2 Cr1 B1 Au1'
_cell_length_a 5.3176
_cell_length_b 5.3176
_cell_length_c 4.0657
_cell_angle_alpha 90.00
_cell_angle_beta 90.00
_cell_angle_gamma 90.00
_symmetry_space_group_name_H-M 'P 1'
_symmetry_Int_Tables_number 1
loop_
_symmetry_equiv_pos_as_xyz
'x,y,z'
loop_
_atom_site_label
_atom_site_type_symbol
_atom_site_fract_x
_atom_site_fract_y
_atom_site_fract_z
Ca1 Ca 0.0000 0.5000 0.0000
Ca2 Ca 0.5000 0.0000 0.0000
Cr1 Cr 0.0000 0.0000 0.5000
B1 B 0.5000 0.5000 0.0000
Au1 Au 0.5000 0.5000 0.5000

[5]
# LaSm5Tl2 PBE relaxed
# ΔE to the lowest computed polymorph = 109 meV per atom
# Density of states at the Fermi level = 16.165 states/eV/f.u.
# Energy of formation = -0.029 eV per atom
data_LaSm5Tl2
_chemical_formula_sum 'La2 Sm10 Tl4'
_cell_length_a 5.5772
_cell_length_b 5.5772
_cell_length_c 20.3430
_cell_angle_alpha 90.00
_cell_angle_beta 90.00
_cell_angle_gamma 120.00
_symmetry_space_group_name_H-M 'P 1'
_symmetry_Int_Tables_number 1
loop_
_symmetry_equiv_pos_as_xyz
'x,y,z'
loop_
_atom_site_label
_atom_site_type_symbol
_atom_site_fract_x
_atom_site_fract_y
_atom_site_fract_z
La1 La 0.3333 0.6667 0.2500
La2 La 0.6667 0.3333 0.7500
Sm1 Sm 0.0000 0.0000 0.1620
Sm2 Sm 0.0000 0.0000 0.3380
Sm3 Sm 0.0000 0.0000 0.6620
Sm4 Sm 0.0000 0.0000 0.8380
Sm5 Sm 0.3333 0.6667 0.5671
Sm6 Sm 0.3333 0.6667 0.7500
Sm7 Sm 0.3333 0.6667 0.9329
Sm8 Sm 0.6667 0.3333 0.0671
Sm9 Sm 0.6667 0.3333 0.2500
Sm10 Sm 0.6667 0.3333 0.4329
Tl1 Tl 0.3333 0.6667 0.0890
Tl2 Tl 0.3333 0.6667 0.4110
Tl3 Tl 0.6667 0.3333 0.5890
Tl4 Tl 0.6667 0.3333 0.9110

[6]
# TcAgPd2 PBE relaxed
# ΔE to the lowest computed polymorph = 29 meV per atom
# Density of states at the Fermi level = 4.443 states/eV/f.u.
# Energy of formation = 0.051 eV per atom
data_TcAgPd2
_chemical_formula_sum 'Tc1 Ag1 Pd2'
_cell_length_a 9.3713
_cell_length_b 9.3713
_cell_length_c 9.3713
_cell_angle_alpha 17.16
_cell_angle_beta 17.16
_cell_angle_gamma 17.16
_symmetry_space_group_name_H-M 'P 1'
_symmetry_Int_Tables_number 1
loop_
_symmetry_equiv_pos_as_xyz
'x,y,z'
loop_
_atom_site_label
_atom_site_type_symbol
_atom_site_fract_x
_atom_site_fract_y
_atom_site_fract_z
Tc1 Tc 0.0000 0.0000 0.0000
Ag1 Ag 0.5000 0.5000 0.5000
Pd1 Pd 0.2540 0.2540 0.2540
Pd2 Pd 0.7460 0.7460 0.7460

[7]
# TlW PBE relaxed
# ΔE to the lowest computed polymorph = 35 meV per atom
# Density of states at the Fermi level = 1.304 states/eV/f.u.
# Energy of formation = 0.659 eV per atom
data_TlW
_chemical_formula_sum 'Tl2 W2'
_cell_length_a 3.0019
_cell_length_b 3.0019
_cell_length_c 10.7016
_cell_angle_alpha 90.00
_cell_angle_beta 90.00
_cell_angle_gamma 113.34
_symmetry_space_group_name_H-M 'P 1'
_symmetry_Int_Tables_number 1
loop_
_symmetry_equiv_pos_as_xyz
'x,y,z'
loop_
_atom_site_label
_atom_site_type_symbol
_atom_site_fract_x
_atom_site_fract_y
_atom_site_fract_z
Tl1 Tl 0.2500 0.7500 0.8424
Tl2 Tl 0.7500 0.2500 0.1576
W1 W 0.2500 0.7500 0.4100
W2 W 0.7500 0.2500 0.5900

[8]
# Pu3PbAu2 PBE relaxed
# Density of states at the Fermi level = 22.251 states/eV/f.u.
# Energy of formation = -0.321 eV per atom
data_Pu3PbAu2
_chemical_formula_sum 'Pu3 Pb1 Au2'
_cell_length_a 3.4116
_cell_length_b 3.4116
_cell_length_c 12.8660
_cell_angle_alpha 90.00
_cell_angle_beta 90.00
_cell_angle_gamma 90.00
_symmetry_space_group_name_H-M 'P 1'
_symmetry_Int_Tables_number 1
loop_
_symmetry_equiv_pos_as_xyz
'x,y,z'
loop_
_atom_site_label
_atom_site_type_symbol
_atom_site_fract_x
_atom_site_fract_y
_atom_site_fract_z
Pu1 Pu 0.0000 0.0000 0.0000
Pu2 Pu 0.0000 0.0000 0.3150
Pu3 Pu 0.0000 0.0000 0.6850
Pb1 Pb 0.5000 0.5000 0.5000
Au1 Au 0.5000 0.5000 0.1581
Au2 Au 0.5000 0.5000 0.8419

- What is the density of states at the Fermi level in the eighth record?
  22.251 states/eV/f.u.